First-principles (PBE-GGA) data for crystalline Rb2BaPuCl8 at its relaxed geometry, as listed in Alexandria via LeMat-Bulk.

Cell: 5.574 7.790 9.754 Å, 90.01 89.99 100.31°
Each line ends with the local moment (μB).
Atoms (fractional coordinates):
Rb  0.500  0.500  0.750  0.00
Rb  0.500  0.500  0.250  0.00
Ba  0.000  0.000  0.500  0.00
Pu  0.000  0.000  0.000  4.38
Cl  0.069  0.794  0.208  -0.05
Cl  0.579  0.799  0.000  -0.07
Cl  0.931  0.206  0.208  -0.05
Cl  0.931  0.206  0.792  -0.05
Cl  0.421  0.201  0.000  -0.07
Cl  0.069  0.794  0.792  -0.05
Cl  0.488  0.767  0.500  -0.01
Cl  0.512  0.233  0.500  -0.01

Results
Space group: No. 10
Uncorrected energy in eV/atom: -4.71
Theoretical density in kg/m³: 3331
Uncorrected formation energy in eV per atom: -1.9671